Material: Li2ScBr
Method: DFT, GGA-PBE
State: relaxed

Cell: 7.989 7.989 5.487 Å, 90.00 90.00 90.00°
Space group I-42d (No. 122)
Unique sites:
Li 0.189 0.250 0.125 (multiplicity 8)
Sc 0.000 0.000 0.500 (multiplicity 4)
Br 0.000 0.000 0.000 (multiplicity 4)

Raw total energy, eV per atom: -3.23

Material: Li2ScBr
Method: DFT, GGA-PBE
State: relaxed

Cell: 3.753 5.589 8.704 Å, 90.00 90.00 90.00°
Space group Cmmm (No. 65)
Unique sites:
Li 0.000 0.000 0.195 (multiplicity 4)
Sc 0.000 0.500 0.500 (multiplicity 2)
Br 0.000 0.500 0.000 (multiplicity 2)

Raw total energy, eV per atom: -3.40

| no. | E above lowest polymorph (meV/atom) | formation energy (no corrections) (eV per atom) |
| --- | --- | --- |
| 1 | 192.9 | -0.2690 |
| 2 | 24.6 | -0.4373 |